Entry 1:
RbThMnN4, optimized geometry, DFT PBE-GGA; SG = P2_1/m; E_form (uncorrected) = -0.630 eV/atom
1.0
5.981 0.000 0.000
0.000 5.515 0.000
-1.918 0.000 7.782
Rb Th Mn N
2 2 2 8
direct
0.232 0.250 0.430 Rb
0.768 0.750 0.570 Rb
0.254 0.250 0.937 Th
0.746 0.750 0.063 Th
0.274 0.750 0.158 Mn
0.726 0.250 0.842 Mn
0.091 0.750 0.290 N
0.097 0.750 0.958 N
0.454 0.509 0.175 N
0.454 0.991 0.175 N
0.546 0.009 0.825 N
0.546 0.491 0.825 N
0.903 0.250 0.042 N
0.909 0.250 0.710 N

Entry 2:
RbUMnN4, optimized geometry, DFT PBE-GGA; SG = P2_1/m; E_form (uncorrected) = -0.542 eV/atom
1.0
5.691 0.000 0.000
0.000 5.486 0.000
-2.275 0.000 7.542
Rb U Mn N
2 2 2 8
direct
0.217 0.250 0.437 Rb
0.783 0.750 0.563 Rb
0.276 0.250 0.958 U
0.724 0.750 0.042 U
0.265 0.750 0.151 Mn
0.735 0.250 0.849 Mn
0.054 0.750 0.947 N
0.066 0.750 0.275 N
0.480 0.510 0.165 N
0.480 0.990 0.165 N
0.520 0.010 0.835 N
0.520 0.490 0.835 N
0.934 0.250 0.725 N
0.946 0.250 0.053 N

Entry 3:
Rb4U3MnN8, optimized geometry, DFT PBE-GGA; SG = R-3m; E_form (uncorrected) = -0.705 eV/atom
1.0
3.490 2.015 6.660
-3.490 2.015 6.660
0.000 -4.030 6.660
Rb U Mn N
4 3 1 8
direct
0.000 0.000 0.000 Rb
0.000 0.500 0.500 Rb
0.500 0.000 0.500 Rb
0.500 0.500 0.000 Rb
0.000 0.000 0.500 U
0.000 0.500 0.000 U
0.500 0.000 0.000 U
0.500 0.500 0.500 Mn
0.192 0.730 0.730 N
0.219 0.219 0.219 N
0.270 0.270 0.808 N
0.270 0.808 0.270 N
0.730 0.192 0.730 N
0.730 0.730 0.192 N
0.781 0.781 0.781 N
0.808 0.270 0.270 N

Entry 4:
MnReN2, optimized geometry, DFT PBE-GGA; SG = Fm-3m; polymorph energy (0 for the lowest one) = 758 meV per atom; E_form (uncorrected) = 0.728 eV/atom
1.0
0.000 2.599 2.599
2.599 0.000 2.599
2.599 2.599 0.000
Mn Re N
1 1 2
direct
0.000 0.000 0.000 Mn
0.500 0.500 0.500 Re
0.250 0.250 0.250 N
0.750 0.750 0.750 N

Number 1: M_tot 0.0 Bohr magnetons per cell. Number 2: M_tot 0.0 Bohr magnetons per cell. Number 3: M_tot 5.0 Bohr magnetons per cell. Number 4: M_tot 0.0 Bohr magnetons per cell.